# 1
Here is crystalline LaPm3Nd7 at its relaxed geometry from Alexandria via LeMat-Bulk. Energies are from GGA-PBE.

Values from the calculation:
* DFT formation energy: 206 meV per atom
* V: 397.3 Å³ per cell
* DOS at the Fermi energy: 16.03 states/eV per cell

The structure in POSCAR format:
```
LaPm3Nd7
1.0
-1.9413 5.4471 1.7065
-6.6623 -4.9098 -2.5416
0.0979 -5.4133 6.7557
La Pm Nd
1 3 7
direct
0.5000 0.5000 0.5000
0.0000 0.7932 0.2068
0.5000 0.0000 0.0000
0.0000 0.2068 0.7932
0.2070 0.2073 0.2073
0.2963 0.9960 0.5968
0.7037 0.4032 0.0040
0.2963 0.5968 0.9960
0.0000 0.5000 0.5000
0.7037 0.0040 0.4032
0.7930 0.7927 0.7927
```

---

# 2
Here is crystalline LaPm3Nd7 at its relaxed geometry from Alexandria via LeMat-Bulk. Energies are from GGA-PBE.

Values from the calculation:
* DFT formation energy: 199 meV per atom
* V: 400.9 Å³ per cell
* DOS at the Fermi energy: 15.13 states/eV per cell

The structure in POSCAR format:
```
LaPm3Nd7
1.0
6.5226 0.0450 0.4703
0.4631 7.7997 1.1235
0.0285 0.0541 7.8935
La Pm Nd
1 3 7
direct
0.5000 0.5000 0.5000
0.0000 0.8282 0.1718
0.5000 0.0000 0.0000
0.0000 0.1718 0.8282
0.7894 0.2358 0.2358
0.7396 0.9240 0.5745
0.2604 0.4255 0.0760
0.7396 0.5745 0.9240
0.0000 0.5000 0.5000
0.2604 0.0760 0.4255
0.2106 0.7642 0.7642
```